The following is a PBE calculation of La2CdNiGe after structural relaxation, from the Alexandria database.

a b c (Å): 5.497 5.497 4.486
angles (deg): 90.00 90.00 90.00
Sites, in units of the cell vectors:
La (0.000, 0.500, 0.000)
La (0.500, 0.000, 0.000)
Cd (0.000, 0.000, 0.500)
Ni (0.500, 0.500, 0.000)
Ge (0.500, 0.500, 0.500)

Summary:
The energy of formation from the pure elements comes out at -0.38 eV per atom. The volume comes out at 135.5 Å³ per cell. The value obtained for the final energy is -4.61 eV/atom.